Entry 1:
## TmSc3Pt2 (PBE-GGA)

Data for crystalline TmSc3Pt2 at its relaxed geometry.

Properties
* total moment: 0.000 μB/atom
* energy relative to the elements: -6.0 eV per formula unit

a = 4.534 Å, b = 8.326 Å, c = 6.777 Å
α = 90.00°, β = 90.00°, γ = 90.00°
Fractional coordinates of all 12 atoms:
Tm 0.000 0.075 0.000
Tm 0.000 0.925 0.500
Sc 0.000 0.331 0.631
Sc 0.000 0.669 0.131
Sc 0.500 0.182 0.342
Sc 0.500 0.423 0.970
Sc 0.500 0.577 0.470
Sc 0.500 0.818 0.842
Pt 0.000 0.351 0.232
Pt 0.000 0.649 0.732
Pt 0.500 0.152 0.738
Pt 0.500 0.848 0.238



Entry 2:
## Cs2TbSiO4 (PBE-GGA)

Data for crystalline Cs2TbSiO4 at its relaxed geometry.

Properties
* total moment: 0.000 μB/atom
* formation energy (no corrections): -17.71 eV/f.u.

a = 14.143 Å, b = 12.856 Å, c = 7.136 Å
α = 84.95°, β = 64.88°, γ = 30.17°
Fractional coordinates of all 16 atoms:
Cs 0.054 0.054 0.696
Cs 0.304 0.304 0.946
Cs 0.696 0.696 0.054
Cs 0.946 0.946 0.304
Tb 0.125 0.125 0.125
Tb 0.875 0.875 0.875
Si 0.375 0.375 0.375
Si 0.625 0.625 0.625
O 0.082 0.599 0.521
O 0.298 0.521 0.599
O 0.401 0.918 0.702
O 0.479 0.702 0.918
O 0.521 0.298 0.082
O 0.599 0.082 0.298
O 0.702 0.479 0.401
O 0.918 0.401 0.479



Entry 3:
## SrSnPO2 (PBE-GGA)

Data for crystalline SrSnPO2 at its relaxed geometry.

Properties
* total moment: 0.003 μB/atom
* relative energy among the computed polymorphs: 0.00 eV per formula unit
* formation energy (no corrections): -5.16 eV/f.u.

a = 4.234 Å, b = 4.234 Å, c = 5.077 Å
α = 90.00°, β = 90.00°, γ = 90.00°
Fractional coordinates of all 5 atoms:
Sr 0.000 0.000 0.000
Sn 0.500 0.500 0.500
P 0.500 0.500 0.000
O 0.000 0.500 0.500
O 0.500 0.000 0.500